Entry 1:
Here is crystalline ScMo2Ru at its relaxed geometry from Alexandria. Energies are from PBE-GGA.

Computed properties:
The value obtained for the calculated formation energy is -0.02 eV/atom. Its total energy is -37.3 eV per cell. For the density of states at the Fermi level, the calculation gives 2.22 states/eV/cell. The distance to the lowest polymorph of the same formula is 94 meV per atom. The calculated density is 8.7 Mg/m³.

abc: 2.845 4.525 5.150
angles: 90.00 102.84 90.00
Fractional coordinates of all 4 atoms:
Sc 0.000 0.000 0.000
Mo 0.264 0.500 0.752
Mo 0.736 0.500 0.248
Ru 0.500 0.000 0.500

Entry 2:
Here is crystalline MgSi3B at its relaxed geometry from Alexandria. Energies are from PBE-GGA.

Computed properties:
Its total energy is -21.4 eV per cell. For the density of states at the Fermi level, the calculation gives 2.19 states/eV/cell. The distance to the lowest polymorph of the same formula is 0 meV per atom. The calculated density is 2.6 Mg/m³.

abc: 4.252 4.252 4.252
angles: 90.00 90.00 90.00
Fractional coordinates of all 5 atoms:
Mg 0.000 0.000 0.000
Si 0.000 0.500 0.500
Si 0.500 0.000 0.500
Si 0.500 0.500 0.000
B 0.500 0.500 0.500

Entry 3:
Here is crystalline Sr3Mg5I12 at its relaxed geometry from Alexandria. Energies are from PBE-GGA.

Computed properties:
Its total energy is -202.3 eV per cell. For the density of states at the Fermi level, the calculation gives 25.88 states/eV/cell. The calculated density is 3.7 Mg/m³.

abc: 16.442 16.442 16.442
angles: 109.47 109.47 109.47
Fractional coordinates of all 80 atoms:
Sr 0.125 0.250 0.375
Sr 0.125 0.375 0.750
Sr 0.250 0.375 0.125
Sr 0.250 0.875 0.625
Sr 0.375 0.125 0.250
Sr 0.375 0.750 0.125
Sr 0.625 0.250 0.875
Sr 0.625 0.875 0.750
Sr 0.750 0.125 0.375
Sr 0.750 0.625 0.875
Sr 0.875 0.625 0.250
Sr 0.875 0.750 0.625
Mg 0.000 0.000 0.000
Mg 0.000 0.000 0.500
Mg 0.000 0.500 0.000
Mg 0.000 0.500 0.500
Mg 0.125 0.750 0.875
Mg 0.125 0.875 0.250
Mg 0.250 0.125 0.875
Mg 0.250 0.625 0.375
Mg 0.375 0.250 0.625
Mg 0.375 0.625 0.750
Mg 0.500 0.000 0.000
Mg 0.500 0.000 0.500
Mg 0.500 0.500 0.000
Mg 0.500 0.500 0.500
Mg 0.625 0.375 0.250
Mg 0.625 0.750 0.375
Mg 0.750 0.375 0.625
Mg 0.750 0.875 0.125
Mg 0.875 0.125 0.750
Mg 0.875 0.250 0.125
I 0.037 0.225 0.132
I 0.037 0.312 0.905
I 0.093 0.725 0.688
I 0.093 0.868 0.405
I 0.095 0.632 0.407
I 0.095 0.963 0.688
I 0.132 0.037 0.225
I 0.132 0.595 0.907
I 0.188 0.225 0.593
I 0.188 0.463 0.595
I 0.225 0.132 0.037
I 0.225 0.593 0.188
I 0.275 0.312 0.907
I 0.275 0.463 0.368
I 0.312 0.905 0.037
I 0.312 0.907 0.275
I 0.368 0.275 0.463
I 0.368 0.593 0.905
I 0.405 0.093 0.868
I 0.405 0.812 0.537
I 0.407 0.095 0.632
I 0.407 0.812 0.775
I 0.463 0.368 0.275
I 0.463 0.595 0.188
I 0.537 0.405 0.812
I 0.537 0.632 0.725
I 0.593 0.188 0.225
I 0.593 0.905 0.368
I 0.595 0.188 0.463
I 0.595 0.907 0.132
I 0.632 0.407 0.095
I 0.632 0.725 0.537
I 0.688 0.093 0.725
I 0.688 0.095 0.963
I 0.725 0.537 0.632
I 0.725 0.688 0.093
I 0.775 0.407 0.812
I 0.775 0.868 0.963
I 0.812 0.537 0.405
I 0.812 0.775 0.407
I 0.868 0.405 0.093
I 0.868 0.963 0.775
I 0.905 0.037 0.312
I 0.905 0.368 0.593
I 0.907 0.132 0.595
I 0.907 0.275 0.312
I 0.963 0.688 0.095
I 0.963 0.775 0.868

Entry 4:
Here is crystalline Y5Sb4O at its relaxed geometry from Alexandria. Energies are from PBE-GGA.

Computed properties:
Its total energy is -67.3 eV per cell. For the density of states at the Fermi level, the calculation gives 2.54 states/eV/cell. The calculated density is 5.7 Mg/m³.

abc: 7.347 7.347 7.347
angles: 100.18 100.18 130.27
Fractional coordinates of all 10 atoms:
Y 0.000 0.000 0.000
Y 0.315 0.688 0.824
Y 0.492 0.315 0.627
Y 0.688 0.864 0.373
Y 0.864 0.492 0.176
Sb 0.001 0.787 0.607
Sb 0.180 0.394 0.393
Sb 0.394 0.001 0.214
Sb 0.787 0.180 0.786
O 0.651 0.651 0.000